(1)
# Pm2MgP3Rh4

A relaxed Pm2MgP3Rh4 crystal (PBE-GGA, Alexandria via LeMat-Bulk).

- ΔH_f (0 K) (eV/atom) = -1.014
- raw total energy (eV per atom) = -6.687
- DOS(E_F) (states/eV/cell) = 3.88
- space group = P-4m2 (115)

a b c (Å): 4.011 4.011 10.625
angles (deg): 90.00 90.00 90.00
Sites, in units of the cell vectors:
Pm 0.000 0.500 0.241
Pm 0.500 0.000 0.759
Mg 0.000 0.000 0.500
P 0.000 0.500 0.870
P 0.500 0.000 0.130
P 0.500 0.500 0.500
Rh 0.000 0.000 0.000
Rh 0.000 0.500 0.653
Rh 0.500 0.000 0.347
Rh 0.500 0.500 0.000


(2)
# Pr3MgP

A relaxed Pr3MgP crystal (PBE-GGA, Alexandria via LeMat-Bulk).

- ΔH_f (0 K) (eV/atom) = -0.451
- raw total energy (eV per atom) = -4.720
- DOS(E_F) (states/eV/cell) = 7.98
- space group = Pm-3m (221)

a b c (Å): 5.583 5.583 5.583
angles (deg): 90.00 90.00 90.00
Sites, in units of the cell vectors:
Pr 0.000 0.000 0.500
Pr 0.000 0.500 0.000
Pr 0.500 0.000 0.000
Mg 0.500 0.500 0.500
P 0.000 0.000 0.000


(3)
# PrMgP2

A relaxed PrMgP2 crystal (PBE-GGA, Alexandria via LeMat-Bulk).

- ΔH_f (0 K) (eV/atom) = -0.790
- raw total energy (eV per atom) = -5.089
- DOS(E_F) (states/eV/cell) = 3.12
- space group = R-3m (166)

a b c (Å): 6.523 6.523 6.523
angles (deg): 37.17 37.17 37.17
Sites, in units of the cell vectors:
Pr 0.000 0.000 0.000
Mg 0.500 0.500 0.500
P 0.242 0.242 0.242
P 0.758 0.758 0.758


(4)
# PrMgP2Pt5

A relaxed PrMgP2Pt5 crystal (PBE-GGA, Alexandria via LeMat-Bulk).

- ΔH_f (0 K) (eV/atom) = -0.716
- raw total energy (eV per atom) = -5.982
- DOS(E_F) (states/eV/cell) = 5.76
- space group = P4/mmm (123)

a b c (Å): 4.175 4.175 10.099
angles (deg): 90.00 90.00 90.00
Sites, in units of the cell vectors:
Pr 0.000 0.000 0.000
Mg 0.000 0.000 0.500
P 0.500 0.500 0.224
P 0.500 0.500 0.776
Pt 0.000 0.500 0.324
Pt 0.000 0.500 0.676
Pt 0.500 0.000 0.324
Pt 0.500 0.000 0.676
Pt 0.500 0.500 0.000


(5)
# Pr2MgP3Pt12

A relaxed Pr2MgP3Pt12 crystal (PBE-GGA, Alexandria via LeMat-Bulk).

- ΔH_f (0 K) (eV/atom) = -0.472
- raw total energy (eV per atom) = -6.021
- DOS(E_F) (states/eV/cell) = 6.73
- space group = R-3m (166)

a b c (Å): 7.647 7.647 7.647
angles (deg): 65.66 65.66 65.66
Sites, in units of the cell vectors:
Pr 0.109 0.109 0.109
Pr 0.891 0.891 0.891
Mg 0.500 0.500 0.500
P 0.000 0.500 0.500
P 0.500 0.000 0.500
P 0.500 0.500 0.000
Pt 0.124 0.630 0.630
Pt 0.159 0.159 0.601
Pt 0.159 0.601 0.159
Pt 0.370 0.370 0.876
Pt 0.370 0.876 0.370
Pt 0.399 0.841 0.841
Pt 0.601 0.159 0.159
Pt 0.630 0.124 0.630
Pt 0.630 0.630 0.124
Pt 0.841 0.399 0.841
Pt 0.841 0.841 0.399
Pt 0.876 0.370 0.370


(6)
# Pr3MgP2Rh9

A relaxed Pr3MgP2Rh9 crystal (PBE-GGA, Alexandria via LeMat-Bulk).

- ΔH_f (0 K) (eV/atom) = -0.536
- raw total energy (eV per atom) = -6.730
- DOS(E_F) (states/eV/cell) = 1.26
- space group = P-3m1 (164)

a b c (Å): 6.344 6.344 8.035
angles (deg): 90.00 90.00 120.00
Sites, in units of the cell vectors:
Pr 0.000 0.000 0.000
Pr 0.333 0.667 0.653
Pr 0.667 0.333 0.347
Mg 0.000 0.000 0.500
P 0.333 0.667 0.161
P 0.667 0.333 0.839
Rh 0.000 0.500 0.000
Rh 0.169 0.339 0.313
Rh 0.169 0.831 0.313
Rh 0.339 0.169 0.687
Rh 0.500 0.000 0.000
Rh 0.500 0.500 0.000
Rh 0.661 0.831 0.313
Rh 0.831 0.169 0.687
Rh 0.831 0.661 0.687


(7)
# PrMgPRh2

A relaxed PrMgPRh2 crystal (PBE-GGA, Alexandria via LeMat-Bulk).

- ΔH_f (0 K) (eV/atom) = -0.808
- raw total energy (eV per atom) = -6.105
- DOS(E_F) (states/eV/cell) = 3.26
- space group = Imm2 (44)

a b c (Å): 6.515 6.515 6.515
angles (deg): 146.73 142.40 51.07
Sites, in units of the cell vectors:
Pr 0.000 0.000 0.000
Mg 0.253 0.753 0.500
P 0.614 0.614 0.000
Rh 0.415 0.415 0.000
Rh 0.737 0.237 0.500


(8)
# MgPPt5

A relaxed MgPPt5 crystal (PBE-GGA, Alexandria via LeMat-Bulk).

- ΔH_f (0 K) (eV/atom) = -0.595
- raw total energy (eV per atom) = -5.910
- DOS(E_F) (states/eV/cell) = 4.51
- space group = P4/mmm (123)

a b c (Å): 3.944 3.944 7.001
angles (deg): 90.00 90.00 90.00
Sites, in units of the cell vectors:
Mg 0.000 0.000 0.000
P 0.500 0.500 0.500
Pt 0.000 0.500 0.292
Pt 0.000 0.500 0.708
Pt 0.500 0.000 0.292
Pt 0.500 0.000 0.708
Pt 0.500 0.500 0.000


(9)
# MgP2Pt

A relaxed MgP2Pt crystal (PBE-GGA, Alexandria via LeMat-Bulk).

- ΔH_f (0 K) (eV/atom) = -0.079
- raw total energy (eV per atom) = -4.693
- DOS(E_F) (states/eV/cell) = 2.12
- space group = I-4m2 (119)

a b c (Å): 5.008 5.008 5.008
angles (deg): 134.92 134.92 65.65
Sites, in units of the cell vectors:
Mg 0.000 0.000 0.000
P 0.250 0.750 0.500
P 0.500 0.500 0.000
Pt 0.750 0.250 0.500


(10)
# Mg2PPt

A relaxed Mg2PPt crystal (PBE-GGA, Alexandria via LeMat-Bulk).

- ΔH_f (0 K) (eV/atom) = -0.403
- raw total energy (eV per atom) = -4.063
- DOS(E_F) (states/eV/cell) = 0.44
- space group = Pmm2 (25)

a b c (Å): 2.995 4.192 5.512
angles (deg): 90.00 90.00 90.00
Sites, in units of the cell vectors:
Mg 0.000 0.000 0.000
Mg 0.500 0.500 0.349
P 0.000 0.000 0.497
Pt 0.500 0.500 0.863


(11)
# Mg2PPt

A relaxed Mg2PPt crystal (PBE-GGA, Alexandria via LeMat-Bulk).

- ΔH_f (0 K) (eV/atom) = -0.539
- raw total energy (eV per atom) = -4.199
- DOS(E_F) (states/eV/cell) = 1.19
- space group = P4/mmm (123)

a b c (Å): 4.194 4.194 3.678
angles (deg): 90.00 90.00 90.00
Sites, in units of the cell vectors:
Mg 0.000 0.500 0.000
Mg 0.500 0.000 0.000
P 0.000 0.000 0.500
Pt 0.500 0.500 0.500


(12)
# Mg2PPt

A relaxed Mg2PPt crystal (PBE-GGA, Alexandria via LeMat-Bulk).

- ΔH_f (0 K) (eV/atom) = -0.388
- raw total energy (eV per atom) = -4.048
- DOS(E_F) (states/eV/cell) = 1.40
- space group = C2/m (12)

a b c (Å): 3.866 3.866 6.839
angles (deg): 99.46 99.46 44.95
Sites, in units of the cell vectors:
Mg 0.247 0.247 0.240
Mg 0.753 0.753 0.760
P 0.500 0.500 0.000
Pt 0.000 0.000 0.500


Which formula does entry 7 have?
PrMgPRh2


raw total energy of number 4 (PrMgP2Pt5)?
-5.982 eV per atom